[1]
The following is a PBE calculation of La2SbIrC after structural relaxation, from the Alexandria database.

Cell and atoms, written as CIF:
```
data_La2SbIrC
_cell_length_a 5.519
_cell_length_b 5.519
_cell_length_c 3.903
_cell_angle_alpha 90.00
_cell_angle_beta 90.00
_cell_angle_gamma 90.00
_symmetry_space_group_name_H-M 'P 4/m m m'
_symmetry_Int_Tables_number 123
_symmetry_space_group_name_Hall '-P 4 2'
loop_
_atom_site_label
_atom_site_fract_x
_atom_site_fract_y
_atom_site_fract_z
_atom_site_occupancy
La1 0.000 0.500 0.000 1
Sb1 0.000 0.000 0.500 1
Ir1 0.500 0.500 0.500 1
C1 0.500 0.500 0.000 1
```

Computed properties:
For the volume, the calculation gives 119 Å³ per cell. The value obtained for the uncorrected formation energy is -672 meV/atom.

---

[2]
The following is a PBE calculation of Sr2LaIrC after structural relaxation, from the Alexandria database.

Cell and atoms, written as CIF:
```
data_Sr2LaIrC
_cell_length_a 5.289
_cell_length_b 5.289
_cell_length_c 4.756
_cell_angle_alpha 90.00
_cell_angle_beta 90.00
_cell_angle_gamma 90.00
_symmetry_space_group_name_H-M 'P 4/m m m'
_symmetry_Int_Tables_number 123
_symmetry_space_group_name_Hall '-P 4 2'
loop_
_atom_site_label
_atom_site_fract_x
_atom_site_fract_y
_atom_site_fract_z
_atom_site_occupancy
Sr1 0.000 0.500 0.000 1
La1 0.000 0.000 0.500 1
Ir1 0.500 0.500 0.500 1
C1 0.000 0.000 0.000 1
```

Computed properties:
For the volume, the calculation gives 133 Å³ per cell. The formation energy is 0.3094 eV per atom.

---

[3]
The following is a PBE calculation of LaTaIr2C after structural relaxation, from the Alexandria database.

Cell and atoms, written as CIF:
```
data_LaTaIr2C
_cell_length_a 4.702
_cell_length_b 4.702
_cell_length_c 5.875
_cell_angle_alpha 90.00
_cell_angle_beta 90.00
_cell_angle_gamma 90.00
_symmetry_space_group_name_H-M 'P 4/m m m'
_symmetry_Int_Tables_number 123
_symmetry_space_group_name_Hall '-P 4 2'
loop_
_atom_site_label
_atom_site_fract_x
_atom_site_fract_y
_atom_site_fract_z
_atom_site_occupancy
La1 0.000 0.000 0.000 1
Ta1 0.000 0.000 0.500 1
Ir1 0.000 0.500 0.500 1
C1 0.500 0.500 0.000 1
```

Computed properties:
For the volume, the calculation gives 130 Å³ per cell. The formation energy is 2.0146 eV per atom.

---

- Among the records above, which one has the highest volume?
  Sr2LaIrC